Density functional theory data (GGA-PBE) for Mn2CrRh after structural relaxation.

Calculated values
ΔE_f ... 46 meV per atom

Lattice parameters (Å, degrees): 4.240 4.240 4.240 60.00 60.00 60.00
Sites, in units of the cell vectors:
Cr 0.500 0.500 0.500
Mn 0.000 0.000 0.000
Rh 0.750 0.750 0.750
Mn 0.250 0.250 0.250

Density functional theory data (GGA-PBE) for MnCrRh2 after structural relaxation.

Calculated values
ΔE_f ... 358 meV per atom

Lattice parameters (Å, degrees): 3.742 3.742 8.994 77.99 77.99 90.00
Sites, in units of the cell vectors:
Mn 0.750 0.250 0.500
Cr 0.500 0.500 0.000
Mn 0.000 0.000 0.000
Rh 0.126 0.625 0.250
Rh 0.375 0.376 0.750
Cr 0.250 0.750 0.500
Rh 0.624 0.125 0.250
Rh 0.875 0.874 0.750